Entry 1:
CsTlCd2Cl6: optimized geometry, PBE-GGA.

Cell: 7.2594 10.3284 10.3284 Å, 90.20 85.69 85.69°
Fractional coordinates of all 20 atoms:
Cl1 0.8029 0.0133 0.2228
Cl2 0.1054 0.2714 0.3971
Cl3 0.8690 0.4094 0.8360
Cl4 0.3690 0.8360 0.4094
Cl5 0.3946 0.6029 0.7286
Cl6 0.6054 0.3971 0.2714
Cl7 0.8946 0.7286 0.6029
Cl8 0.1310 0.5906 0.1640
Cl9 0.1971 0.9867 0.7772
Cl10 0.6310 0.1640 0.5906
Cl11 0.6971 0.7772 0.9867
Cl12 0.3029 0.2228 0.0133
Cd1 0.2757 0.3742 0.2007
Cd2 0.7757 0.2007 0.3742
Cd3 0.7243 0.6258 0.7993
Cd4 0.2243 0.7993 0.6258
Cs1 0.2500 0.8977 0.1023
Cs2 0.7500 0.1023 0.8977
Tl1 0.7500 0.7010 0.2990
Tl2 0.2500 0.2990 0.7010

Computed properties:
Uncorrected formation energy   -1.249 eV/atom
Symmetry   C2/c
Theoretical density   3.34 g cm⁻³

Entry 2:
Cs2TlCdCl: optimized geometry, PBE-GGA.

Cell: 7.3049 5.8544 7.3049 Å, 90.00 90.00 90.00°
Fractional coordinates of all 5 atoms:
Cs1 0.0000 0.0000 0.5000
Cs2 0.5000 0.0000 0.0000
Cl1 0.0000 0.5000 0.0000
Tl1 0.5000 0.5000 0.5000
Cd1 0.0000 0.0000 0.0000

Computed properties:
Uncorrected formation energy   -0.203 eV/atom
Symmetry   P4/mmm
Theoretical density   3.29 g cm⁻³

Entry 3:
Cs3Tl3CdCl8: optimized geometry, PBE-GGA.

Cell: 9.6020 9.6010 9.2502 Å, 121.26 90.00 120.00°
Fractional coordinates of all 15 atoms:
Cl1 0.7572 0.5144 0.7715
Cl2 0.2428 0.4856 0.2285
Cl3 0.2040 0.0119 0.7160
Cl4 0.7956 0.5913 0.2833
Cl5 0.7960 0.9881 0.2840
Cl6 0.8079 0.0119 0.7160
Cl7 0.2044 0.4087 0.7167
Cl8 0.1921 0.9881 0.2840
Cs1 0.5000 0.0000 0.5000
Cs2 0.0000 0.5000 0.5000
Cs3 0.5000 0.5000 0.5000
Tl1 0.0000 0.0000 0.0000
Tl2 0.5000 0.5000 0.0000
Tl3 0.0000 0.5000 0.0000
Cd1 0.0000 0.0000 0.5000

Computed properties:
Uncorrected formation energy   -1.414 eV/atom
Symmetry   R-3m
Theoretical density   3.95 g cm⁻³